[1]
# AlAsPt2 | the Alexandria database | PBE | optimized geometry
data_AlAsPt2
_cell_length_a 6.327
_cell_length_b 6.327
_cell_length_c 6.327
_cell_angle_alpha 90.00
_cell_angle_beta 90.00
_cell_angle_gamma 90.00
_space_group_name_H-M_alt 'F m -3 m'
_space_group_IT_number 225
_space_group_name_Hall '-F 4 2 3'
loop_
_atom_site_label
_atom_site_fract_x
_atom_site_fract_y
_atom_site_fract_z
Al1 0.000 0.000 0.000
As1 0.000 0.000 0.500
Pt1 0.250 0.250 0.250
# Size of the total moment in μB per formula unit: 0.000
# Calculated formation energy in eV per atom: -0.35
# DOS at the Fermi energy in states/eV/atom: 0.5591

[2]
# SrNi2Te | the Alexandria database | PBE | optimized geometry
data_SrNi2Te
_cell_length_a 4.2459
_cell_length_b 4.2459
_cell_length_c 16.7137
_cell_angle_alpha 90.00
_cell_angle_beta 90.00
_cell_angle_gamma 120.00
_space_group_name_H-M_alt 'R 3 m'
_space_group_IT_number 160
_space_group_name_Hall 'R 3 -2"'
loop_
_atom_site_label
_atom_site_fract_x
_atom_site_fract_y
_atom_site_fract_z
Sr1 0.0000 0.0000 0.0000
Ni1 0.0000 0.0000 0.4733
Ni2 0.0000 0.0000 0.7973
Te1 0.0000 0.0000 0.1933
# Size of the total moment in μB per formula unit: 0.000
# DOS at the Fermi energy in states/eV/atom: 0.7778
# ΔE_f (raw) in meV/atom: -376

[3]
# Li4CaSb | the Alexandria database | PBE | optimized geometry
data_Li4CaSb
_cell_length_a 8.015
_cell_length_b 8.015
_cell_length_c 8.015
_cell_angle_alpha 90.00
_cell_angle_beta 90.00
_cell_angle_gamma 90.00
_space_group_name_H-M_alt 'F -4 3 m'
_space_group_IT_number 216
_space_group_name_Hall 'F -4 2 3'
loop_
_atom_site_label
_atom_site_fract_x
_atom_site_fract_y
_atom_site_fract_z
Li1 0.124 0.124 0.124
Ca1 0.000 0.000 0.500
Sb1 0.250 0.250 0.750
# Size of the total moment in μB per formula unit: 0.426
# DOS at the Fermi energy in states/eV/atom: 0.5039
# ΔE_f (raw) in meV/atom: -238

[4]
# Se4Br2Cl5 | the Alexandria database | PBE | optimized geometry
data_Se4Br2Cl5
_cell_length_a 9.900
_cell_length_b 11.460
_cell_length_c 8.549
_cell_angle_alpha 90.00
_cell_angle_beta 100.44
_cell_angle_gamma 90.00
_space_group_name_H-M_alt 'C 1 m 1'
_space_group_IT_number 8
loop_
_space_group_symop_operation_xyz
'x,y,z'
'x,-y,z'
'x+1/2,y+1/2,z'
'x+1/2,-y+1/2,z'
loop_
_atom_site_label
_atom_site_fract_x
_atom_site_fract_y
_atom_site_fract_z
Se1 0.000 0.000 0.000
Se2 0.029 0.500 0.337
Se3 0.210 0.000 0.908
Se4 0.271 0.500 0.385
Br1 0.086 0.000 0.280
Br2 0.162 0.500 0.070
Cl1 0.223 0.184 0.798
Cl2 0.309 0.500 0.658
Cl3 0.472 0.148 0.481
# Size of the total moment in μB per formula unit: 0.973
# ΔE_f (raw) in meV/atom: -119

[5]
# DyReOs | the Alexandria database | PBE | optimized geometry
data_DyReOs
_cell_length_a 10.167
_cell_length_b 4.365
_cell_length_c 7.144
_cell_angle_alpha 90.00
_cell_angle_beta 132.21
_cell_angle_gamma 90.00
_space_group_name_H-M_alt 'C 1 2/m 1'
_space_group_IT_number 12
loop_
_space_group_symop_operation_xyz
'x,y,z'
'-x,-y,-z'
'-x,y,-z'
'x,-y,z'
'x+1/2,y+1/2,z'
'-x+1/2,-y+1/2,-z'
'-x+1/2,y+1/2,-z'
'x+1/2,-y+1/2,z'
loop_
_atom_site_label
_atom_site_fract_x
_atom_site_fract_y
_atom_site_fract_z
Dy1 0.067 0.000 0.318
Re1 0.159 0.500 0.071
Os1 0.168 0.500 0.732
# Size of the total moment in μB per formula unit: 0.000
# Calculated formation energy in eV per atom: -0.15
# DOS at the Fermi energy in states/eV/atom: 0.5797

[6]
# ScMnCo2As | the Alexandria database | PBE | optimized geometry
data_ScMnCo2As
_cell_length_a 4.253
_cell_length_b 4.253
_cell_length_c 4.418
_cell_angle_alpha 90.00
_cell_angle_beta 90.00
_cell_angle_gamma 90.00
_space_group_name_H-M_alt 'P 4/m m m'
_space_group_IT_number 123
_space_group_name_Hall '-P 4 2'
loop_
_atom_site_label
_atom_site_fract_x
_atom_site_fract_y
_atom_site_fract_z
Sc1 0.000 0.000 0.000
Mn1 0.500 0.500 0.500
Co1 0.000 0.500 0.500
As1 0.500 0.500 0.000
# Size of the total moment in μB per formula unit: 0.945
# Calculated formation energy in eV per atom: 0.36
# DOS at the Fermi energy in states/eV/atom: 1.2498

[7]
# Rb2BPdI6 | the Alexandria database | PBE | optimized geometry
data_Rb2BPdI6
_cell_length_a 8.764
_cell_length_b 8.764
_cell_length_c 10.349
_cell_angle_alpha 90.00
_cell_angle_beta 90.00
_cell_angle_gamma 90.00
_space_group_name_H-M_alt 'I 4/m m m'
_space_group_IT_number 139
_space_group_name_Hall '-I 4 2'
loop_
_atom_site_label
_atom_site_fract_x
_atom_site_fract_y
_atom_site_fract_z
Rb1 0.000 0.500 0.250
B1 0.000 0.000 0.000
Pd1 0.000 0.000 0.500
I1 0.000 0.000 0.201
I2 0.222 0.222 0.500
# Size of the total moment in μB per formula unit: 0.992
# DOS at the Fermi energy in states/eV/atom: 0.1894
# ΔE_f (raw) in meV/atom: -411

[8]
# SrRu2Rh | the Alexandria database | PBE | optimized geometry
data_SrRu2Rh
_cell_length_a 2.867
_cell_length_b 4.759
_cell_length_c 10.426
_cell_angle_alpha 90.00
_cell_angle_beta 90.00
_cell_angle_gamma 90.00
_space_group_name_H-M_alt 'I m m m'
_space_group_IT_number 71
_space_group_name_Hall '-I 2 2'
loop_
_atom_site_label
_atom_site_fract_x
_atom_site_fract_y
_atom_site_fract_z
Sr1 0.000 0.000 0.000
Ru1 0.000 0.500 0.219
Rh1 0.000 0.000 0.500
# Size of the total moment in μB per formula unit: 0.000
# Calculated formation energy in eV per atom: 0.49
# DOS at the Fermi energy in states/eV/atom: 1.1477

[9]
# RbRe3Te | the Alexandria database | PBE | optimized geometry
data_RbRe3Te
_cell_length_a 5.022
_cell_length_b 5.022
_cell_length_c 5.022
_cell_angle_alpha 90.00
_cell_angle_beta 90.00
_cell_angle_gamma 90.00
_space_group_name_H-M_alt 'P m -3 m'
_space_group_IT_number 221
_space_group_name_Hall '-P 4 2 3'
loop_
_atom_site_label
_atom_site_fract_x
_atom_site_fract_y
_atom_site_fract_z
Rb1 0.000 0.000 0.000
Re1 0.000 0.500 0.500
Te1 0.500 0.500 0.500
# Size of the total moment in μB per formula unit: 3.324
# DOS at the Fermi energy in states/eV/atom: 0.6003
# ΔE_f (raw) in meV/atom: 2532